(1)
An optimized crystal structure of Y4Te3H2, computed with PBE-GGA.

Properties
**DOS(E_F)**: 4.93 states/eV/f.u.
**Spin magnetization**: 0.00 μB/f.u.
**E**: -101.98 eV for the cell shown

abc: 6.331 8.377 8.377
angles: 74.24 94.19 94.19
Atoms (fractional coordinates):
H (0.613, 0.832, 0.584)
H (0.387, 0.168, 0.416)
H (0.887, 0.416, 0.168)
H (0.113, 0.584, 0.832)
Te (0.470, 0.230, 0.980)
Te (0.750, 0.407, 0.593)
Te (0.250, 0.593, 0.407)
Te (0.970, 0.980, 0.230)
Te (0.530, 0.770, 0.020)
Te (0.030, 0.020, 0.770)
Y (0.028, 0.686, 0.053)
Y (0.528, 0.053, 0.686)
Y (0.972, 0.314, 0.947)
Y (0.460, 0.589, 0.753)
Y (0.472, 0.947, 0.314)
Y (0.540, 0.411, 0.247)
Y (0.960, 0.753, 0.589)
Y (0.040, 0.247, 0.411)



(2)
An optimized crystal structure of YTe2H, computed with PBE-GGA.

Properties
**Spin magnetization**: 0.00 μB/f.u.
**E**: -38.61 eV for the cell shown

abc: 5.906 8.884 4.241
angles: 90.05 111.04 81.70
Atoms (fractional coordinates):
Te (0.738, 0.006, 0.216)
Te (0.770, 0.479, 0.231)
Te (0.254, 0.718, 0.973)
Te (0.248, 0.310, 0.472)
Y (0.675, 0.736, 0.684)
Y (0.146, 0.074, 0.920)
H (0.288, 0.923, 0.491)
H (0.364, 0.995, 0.529)



(3)
An optimized crystal structure of YTe2H, computed with PBE-GGA.

Properties
**DOS(E_F)**: 1.11 states/eV/f.u.
**Spin magnetization**: 0.00 μB/f.u.
**E**: -35.18 eV for the cell shown

abc: 7.339 7.339 6.178
angles: 53.56 53.56 90.00
Atoms (fractional coordinates):
Te (0.331, 0.169, 0.000)
Te (0.831, 0.331, 0.000)
Te (0.169, 0.669, 0.000)
Te (0.669, 0.831, 0.000)
H (0.250, 0.750, 0.500)
H (0.750, 0.250, 0.500)
Y (0.750, 0.750, 0.500)
Y (0.250, 0.250, 0.500)



(4)
An optimized crystal structure of Y2Te3H, computed with PBE-GGA.

Properties
**DOS(E_F)**: 2.65 states/eV/f.u.
**Spin magnetization**: 0.00 μB/f.u.
**E**: -128.57 eV for the cell shown

abc: 4.056 12.827 11.619
angles: 90.00 90.00 90.00
Atoms (fractional coordinates):
Te (0.750, 0.564, 0.614)
Te (0.250, 0.064, 0.886)
Te (0.250, 0.803, 0.675)
Te (0.750, 0.936, 0.114)
Te (0.250, 0.125, 0.569)
Te (0.750, 0.875, 0.431)
Te (0.750, 0.625, 0.931)
Te (0.750, 0.197, 0.325)
Te (0.250, 0.697, 0.175)
Te (0.750, 0.303, 0.825)
Te (0.250, 0.436, 0.386)
Te (0.250, 0.375, 0.069)
Y (0.250, 0.479, 0.798)
Y (0.250, 0.825, 0.939)
Y (0.750, 0.521, 0.202)
Y (0.250, 0.021, 0.298)
Y (0.250, 0.675, 0.439)
Y (0.750, 0.325, 0.561)
Y (0.750, 0.175, 0.061)
Y (0.750, 0.979, 0.702)
H (0.250, 0.375, 0.638)
H (0.750, 0.875, 0.862)
H (0.750, 0.625, 0.362)
H (0.250, 0.125, 0.138)